(1)
Pr2Ga2SnRh5: relaxed, PBE.

Cell: 3.6352 10.0135 10.0135 Å, 90.00 90.00 90.00°
Sites, in units of the cell vectors:
Ga (0.0000, 0.3788, 0.1212)
Ga (0.0000, 0.8788, 0.3788)
Ga (0.0000, 0.6212, 0.8788)
Ga (0.0000, 0.1212, 0.6212)
Rh (0.5000, 0.2093, 0.0671)
Rh (0.5000, 0.7093, 0.4329)
Rh (0.5000, 0.7907, 0.9329)
Rh (0.5000, 0.5671, 0.7093)
Rh (0.5000, 0.4329, 0.2907)
Rh (0.5000, 0.2907, 0.5671)
Rh (0.5000, 0.9329, 0.2093)
Rh (0.5000, 0.0000, 0.5000)
Rh (0.5000, 0.0671, 0.7907)
Rh (0.5000, 0.5000, 0.0000)
Pr (0.0000, 0.8243, 0.6757)
Pr (0.0000, 0.1757, 0.3243)
Pr (0.0000, 0.3243, 0.8243)
Pr (0.0000, 0.6757, 0.1757)
Sn (0.0000, 0.5000, 0.5000)
Sn (0.0000, 0.0000, 0.0000)

Properties
SG: P4/mbm
energy of formation from the pure elements: -0.7434 eV per atom
total magnetization: 0.0 μB/cell
energy: -127.614 eV for the cell shown

---

(2)
Pr2GaSn2Rh5: relaxed, PBE.

Cell: 3.2651 10.8608 10.8608 Å, 90.00 90.00 90.00°
Sites, in units of the cell vectors:
Rh (0.5000, 0.5421, 0.6897)
Rh (0.5000, 0.1897, 0.0421)
Rh (0.5000, 0.4579, 0.3103)
Rh (0.5000, 0.0421, 0.8103)
Rh (0.5000, 0.8103, 0.9579)
Rh (0.5000, 0.6897, 0.4579)
Rh (0.5000, 0.3103, 0.5421)
Rh (0.5000, 0.0000, 0.5000)
Rh (0.5000, 0.5000, 0.0000)
Rh (0.5000, 0.9579, 0.1897)
Pr (0.0000, 0.8327, 0.6673)
Pr (0.0000, 0.6673, 0.1673)
Pr (0.0000, 0.3327, 0.8327)
Pr (0.0000, 0.1673, 0.3327)
Sn (0.0000, 0.3635, 0.1365)
Sn (0.0000, 0.8635, 0.3635)
Sn (0.0000, 0.1365, 0.6365)
Sn (0.0000, 0.6365, 0.8635)
Ga (0.0000, 0.5000, 0.5000)
Ga (0.0000, 0.0000, 0.0000)

Properties
SG: P4/mbm
energy of formation from the pure elements: -0.5108 eV per atom
total magnetization: 0.0 μB/cell
energy: -124.914 eV for the cell shown

---

(3)
PrGaSnRh3: relaxed, PBE.

Cell: 5.6447 5.7200 8.7224 Å, 109.14 90.00 90.00°
Sites, in units of the cell vectors:
Pr (0.7500, 0.2803, 0.5606)
Pr (0.2500, 0.7197, 0.4394)
Rh (0.2500, 0.2554, 0.5107)
Rh (0.5000, 0.2636, 0.0000)
Rh (0.5000, 0.7364, 0.0000)
Rh (0.7500, 0.7446, 0.4893)
Rh (0.0000, 0.2636, 0.0000)
Rh (0.0000, 0.7364, 0.0000)
Ga (0.7500, 0.5956, 0.1911)
Ga (0.2500, 0.4044, 0.8089)
Sn (0.7500, 0.9021, 0.8042)
Sn (0.2500, 0.0979, 0.1958)

Properties
SG: Cmcm
energy of formation from the pure elements: -0.4211 eV per atom
total magnetization: 0.0 μB/cell
energy: -72.780 eV for the cell shown

---

(4)
Pr2Ti2GaRh5: relaxed, PBE.

Cell: 3.1101 10.7490 10.7490 Å, 90.00 90.00 90.00°
Sites, in units of the cell vectors:
Rh (0.5000, 0.1946, 0.0517)
Rh (0.5000, 0.5000, 0.0000)
Rh (0.5000, 0.9483, 0.1946)
Rh (0.5000, 0.8054, 0.9483)
Rh (0.5000, 0.5517, 0.6946)
Rh (0.5000, 0.6946, 0.4483)
Rh (0.5000, 0.0000, 0.5000)
Rh (0.5000, 0.4483, 0.3054)
Rh (0.5000, 0.3054, 0.5517)
Rh (0.5000, 0.0517, 0.8054)
Ti (0.0000, 0.6337, 0.8663)
Ti (0.0000, 0.3663, 0.1337)
Ti (0.0000, 0.8663, 0.3663)
Ti (0.0000, 0.1337, 0.6337)
Pr (0.0000, 0.6757, 0.1757)
Pr (0.0000, 0.8243, 0.6757)
Pr (0.0000, 0.1757, 0.3243)
Pr (0.0000, 0.3243, 0.8243)
Ga (0.0000, 0.0000, 0.0000)
Ga (0.0000, 0.5000, 0.5000)

Properties
SG: P4/mbm
energy of formation from the pure elements: -0.5382 eV per atom
total magnetization: 0.0 μB/cell
energy: -141.029 eV for the cell shown

---

(5)
Pr2TlGa2Rh5: relaxed, PBE.

Cell: 3.6854 10.0123 10.0123 Å, 90.00 90.00 90.00°
Sites, in units of the cell vectors:
Rh (0.5000, 0.9318, 0.2133)
Rh (0.5000, 0.5000, 0.0000)
Rh (0.5000, 0.7867, 0.9318)
Rh (0.5000, 0.5682, 0.7133)
Rh (0.5000, 0.7133, 0.4318)
Rh (0.5000, 0.2133, 0.0682)
Rh (0.5000, 0.0682, 0.7867)
Rh (0.5000, 0.0000, 0.5000)
Rh (0.5000, 0.4318, 0.2867)
Rh (0.5000, 0.2867, 0.5682)
Ga (0.0000, 0.6205, 0.8795)
Ga (0.0000, 0.1205, 0.6205)
Ga (0.0000, 0.8795, 0.3795)
Ga (0.0000, 0.3795, 0.1205)
Pr (0.0000, 0.6767, 0.1767)
Pr (0.0000, 0.3233, 0.8233)
Pr (0.0000, 0.8233, 0.6767)
Pr (0.0000, 0.1767, 0.3233)
Tl (0.0000, 0.5000, 0.5000)
Tl (0.0000, 0.0000, 0.0000)

Properties
SG: P4/mbm
energy of formation from the pure elements: -0.6231 eV per atom
total magnetization: 0.0 μB/cell
energy: -121.934 eV for the cell shown

---

(6)
Pr2TmGa3Rh4: relaxed, PBE.

Cell: 4.2822 4.2822 10.9534 Å, 90.00 90.00 90.00°
Sites, in units of the cell vectors:
Rh (0.0000, 0.5000, 0.3492)
Rh (0.0000, 0.0000, 0.0000)
Rh (0.5000, 0.0000, 0.6508)
Rh (0.5000, 0.5000, 0.0000)
Ga (0.5000, 0.0000, 0.8823)
Ga (0.0000, 0.5000, 0.1177)
Ga (0.0000, 0.0000, 0.5000)
Tm (0.5000, 0.5000, 0.5000)
Pr (0.0000, 0.5000, 0.7758)
Pr (0.5000, 0.0000, 0.2242)

Properties
SG: P-4m2
energy of formation from the pure elements: -0.7970 eV per atom
total magnetization: 0.0 μB/cell
energy: -60.487 eV for the cell shown

---

(7)
PrTmGaRh: relaxed, PBE.

Cell: 4.3126 3.8859 6.0325 Å, 90.00 110.94 90.00°
Sites, in units of the cell vectors:
Ga (0.5635, 0.5000, 0.1270)
Rh (0.4132, 0.0000, 0.8264)
Pr (0.1544, 0.0000, 0.3088)
Tm (0.8689, 0.5000, 0.7377)

Properties
SG: Amm2
energy of formation from the pure elements: -0.6850 eV per atom
total magnetization: 0.0 μB/cell
energy: -22.369 eV for the cell shown
E above lowest polymorph: 0 meV per atom

---

(8)
PrTmGaRh: relaxed, PBE.

Cell: 5.0382 5.0382 5.0382 Å, 60.00 60.00 60.00°
Sites, in units of the cell vectors:
Ga (0.2500, 0.2500, 0.2500)
Tm (0.0000, 0.0000, 0.0000)
Pr (0.5000, 0.5000, 0.5000)
Rh (0.7500, 0.7500, 0.7500)

Properties
SG: F-43m
energy of formation from the pure elements: -0.5908 eV per atom
total magnetization: 0.0 μB/cell
energy: -21.993 eV for the cell shown
E above lowest polymorph: 94 meV per atom